Below is TiMn5P3 after structural relaxation, with properties calculated at the GGA-PBE level.

Geometry as POSCAR:
```
TiMn5P3
1.0
1.8852 -6.1531 0.0000
1.8852 6.1531 0.0000
0.0000 0.0000 9.8878
Ti Mn P
2 10 6
direct
0.2362 0.7638 0.7500
0.7638 0.2362 0.2500
0.0000 0.0000 0.0000
0.0000 0.0000 0.5000
0.1908 0.8092 0.0508
0.1908 0.8092 0.4492
0.4524 0.5476 0.6366
0.4524 0.5476 0.8634
0.5476 0.4524 0.1366
0.5476 0.4524 0.3634
0.8092 0.1908 0.5508
0.8092 0.1908 0.9492
0.1071 0.8929 0.2500
0.3694 0.6306 0.0703
0.3694 0.6306 0.4297
0.6306 0.3694 0.5703
0.6306 0.3694 0.9297
0.8929 0.1071 0.7500
```

Results
VASP energy = -147.73 eV/cell
SG = Cmcm
magnetization = 3.17 μB per formula unit
formation energy from the elements = -3.89 eV per formula unit
Fermi-level density of states = 9.579 states/eV/cell